No. 1
A relaxed SrCa3Ni crystal. Source: Alexandria, functional GGA-PBE. Values from VASP.

Structure (Quantum ESPRESSO input):
```
&SYSTEM
  ibrav = 0, nat = 10, ntyp = 3
/
ATOMIC_SPECIES
Sr 87.62 Sr.upf
Ca 40.08 Ca.upf
Ni 58.69 Ni.upf
CELL_PARAMETERS angstrom
6.6554 0.0000 0.0000
-0.4785 7.2038 0.0000
-1.6182 -1.6277 7.4823
ATOMIC_POSITIONS angstrom
Sr 0.9081 0.1208 2.7290
Sr 3.6507 5.4554 4.7533
Ca 0.8484 3.8460 1.3554
Ca 0.2247 3.3518 5.2391
Ca 0.5491 -0.3817 6.6645
Ca 4.0097 5.9579 0.8178
Ca 4.3340 2.2244 2.2432
Ca 3.7103 1.7301 6.1270
Ni -1.6180 4.4833 7.2252
Ni 6.1768 1.0929 0.2571
```

Its energy above the most stable polymorph in this dataset is 0.0000 eV per atom. The calculation puts the size of the total moment at 0.00 μB per atom. As for the formation energy: -0.057 eV/atom. The final energy is -27.5 eV/cell. As for the space group: P-1, No. 2.


No. 2
A relaxed SrCa2Ni9 crystal. Source: Alexandria, functional GGA-PBE. Values from VASP.

Structure (Quantum ESPRESSO input):
```
&SYSTEM
  ibrav = 0, nat = 12, ntyp = 3
/
ATOMIC_SPECIES
Sr 87.62 Sr.upf
Ca 40.08 Ca.upf
Ni 58.69 Ni.upf
CELL_PARAMETERS angstrom
2.5381 1.4654 8.0707
-2.5381 1.4654 8.0707
0.0000 -2.9307 8.0707
ATOMIC_POSITIONS angstrom
Sr 0.0000 0.0000 0.0000
Ca 0.0000 0.0000 3.4160
Ca 0.0000 0.0000 20.7962
Ni -1.2580 -0.7263 10.0447
Ni 0.0000 0.0000 8.0403
Ni 0.0000 -1.4526 14.1676
Ni -1.2580 0.7263 14.1676
Ni 0.0000 0.0000 12.1061
Ni 1.2580 -0.7263 10.0447
Ni 0.0000 1.4526 10.0447
Ni 0.0000 0.0000 16.1720
Ni 1.2580 0.7263 14.1675
```

The calculation puts the size of the total moment at 0.23 μB per atom. As for the formation energy: -0.114 eV/atom. The final energy is -59.1 eV/cell. As for the space group: R-3m, No. 166.


No. 3
A relaxed Sr2CaNi crystal. Source: Alexandria, functional GGA-PBE. Values from VASP.

Structure (Quantum ESPRESSO input):
```
&SYSTEM
  ibrav = 0, nat = 16, ntyp = 3
/
ATOMIC_SPECIES
Sr 87.62 Sr.upf
Ca 40.08 Ca.upf
Ni 58.69 Ni.upf
CELL_PARAMETERS angstrom
8.0678 0.0000 0.0000
0.0000 8.0678 0.0000
0.0000 0.0000 8.0678
ATOMIC_POSITIONS angstrom
Sr 0.0000 0.0000 0.0000
Sr 0.0000 4.0339 4.0339
Sr 2.0170 2.0170 2.0170
Sr 2.0170 6.0509 6.0509
Sr 4.0339 0.0000 4.0339
Sr 4.0339 4.0339 0.0000
Sr 6.0509 2.0170 6.0509
Sr 6.0509 6.0509 2.0170
Ca 2.0170 2.0170 6.0509
Ca 2.0170 6.0509 2.0170
Ca 6.0509 2.0170 2.0170
Ca 6.0509 6.0509 6.0509
Ni 0.0000 0.0000 4.0339
Ni 0.0000 4.0339 0.0000
Ni 4.0339 0.0000 0.0000
Ni 4.0339 4.0339 4.0339
```

Its energy above the most stable polymorph in this dataset is 0.3175 eV per atom. The calculation puts the size of the total moment at 0.00 μB per atom. As for the formation energy: 0.384 eV/atom. The final energy is -38.4 eV/cell. As for the space group: F-43m, No. 216.


No. 4
A relaxed Sr2CaNi crystal. Source: Alexandria, functional GGA-PBE. Values from VASP.

Structure (Quantum ESPRESSO input):
```
&SYSTEM
  ibrav = 0, nat = 8, ntyp = 3
/
ATOMIC_SPECIES
Sr 87.62 Sr.upf
Ca 40.08 Ca.upf
Ni 58.69 Ni.upf
CELL_PARAMETERS angstrom
5.4517 0.0000 0.0000
0.0000 5.4517 0.0000
0.0000 0.0000 9.1763
ATOMIC_POSITIONS angstrom
Sr 0.0000 2.7259 2.2941
Sr 0.0000 2.7259 6.8822
Sr 2.7259 0.0000 2.2941
Sr 2.7259 0.0000 6.8822
Ca 0.0000 0.0000 0.0000
Ca 2.7259 2.7259 4.5881
Ni 0.0000 0.0000 4.5881
Ni 2.7259 2.7259 0.0000
```

Its energy above the most stable polymorph in this dataset is 0.2918 eV per atom. The calculation puts the size of the total moment at 0.00 μB per atom. As for the formation energy: 0.358 eV/atom. The final energy is -19.4 eV/cell. As for the space group: I4/mmm, No. 139.


No. 5
A relaxed SrCaNi2 crystal. Source: Alexandria, functional GGA-PBE. Values from VASP.

Structure (Quantum ESPRESSO input):
```
&SYSTEM
  ibrav = 0, nat = 4, ntyp = 3
/
ATOMIC_SPECIES
Sr 87.62 Sr.upf
Ca 40.08 Ca.upf
Ni 58.69 Ni.upf
CELL_PARAMETERS angstrom
5.0057 0.0000 0.0000
0.0000 5.0057 0.0000
0.0000 0.0000 3.5243
ATOMIC_POSITIONS angstrom
Sr 0.0000 0.0000 0.0000
Ca 2.5028 2.5028 0.0000
Ni 0.0000 2.5028 1.7622
Ni 2.5028 0.0000 1.7622
```

Its energy above the most stable polymorph in this dataset is 0.2108 eV per atom. The calculation puts the size of the total moment at 0.03 μB per atom. As for the formation energy: 0.133 eV/atom. The final energy is -14.7 eV/cell. As for the space group: P4/mmm, No. 123.


No. 6
A relaxed Sr2CaNi crystal. Source: Alexandria, functional GGA-PBE. Values from VASP.

Structure (Quantum ESPRESSO input):
```
&SYSTEM
  ibrav = 0, nat = 8, ntyp = 3
/
ATOMIC_SPECIES
Sr 87.62 Sr.upf
Ca 40.08 Ca.upf
Ni 58.69 Ni.upf
CELL_PARAMETERS angstrom
4.9445 0.0000 0.0000
0.0000 4.9445 0.0000
0.0000 0.0000 11.1334
ATOMIC_POSITIONS angstrom
Sr 0.0000 0.0000 0.0000
Sr 0.0000 2.4723 2.7833
Sr 2.4723 0.0000 8.3500
Sr 2.4723 2.4723 5.5667
Ca 0.0000 0.0000 5.5667
Ca 2.4723 2.4723 0.0000
Ni 0.0000 2.4723 8.3500
Ni 2.4723 0.0000 2.7833
```

Its energy above the most stable polymorph in this dataset is 0.2849 eV per atom. The calculation puts the size of the total moment at 0.00 μB per atom. As for the formation energy: 0.351 eV/atom. The final energy is -19.5 eV/cell. As for the space group: I-4m2, No. 119.


No. 7
A relaxed SrCa3Ni crystal. Source: Alexandria, functional GGA-PBE. Values from VASP.

Structure (Quantum ESPRESSO input):
```
&SYSTEM
  ibrav = 0, nat = 10, ntyp = 3
/
ATOMIC_SPECIES
Sr 87.62 Sr.upf
Ca 40.08 Ca.upf
Ni 58.69 Ni.upf
CELL_PARAMETERS angstrom
-3.0868 3.0868 13.6047
3.0868 -3.0868 13.6047
3.0868 3.0868 -13.6047
ATOMIC_POSITIONS angstrom
Sr 0.0000 0.0000 0.0000
Sr 0.0000 3.0868 6.8023
Ca 0.0000 0.0000 8.3083
Ca 0.0000 1.4857 3.7245
Ca 0.0000 0.0000 18.9010
Ca -1.6011 3.0868 9.8801
Ca 1.6011 3.0868 9.8801
Ca 0.0000 4.6879 3.7245
Ni 3.0868 0.0000 5.6423
Ni 3.0868 0.0000 7.9623
```

Its energy above the most stable polymorph in this dataset is 0.8992 eV per atom. The calculation puts the size of the total moment at 0.11 μB per atom. As for the formation energy: 0.842 eV/atom. The final energy is -18.5 eV/cell. As for the space group: I-4m2, No. 119.


No. 8
A relaxed SrCa2Ni crystal. Source: Alexandria, functional GGA-PBE. Values from VASP.

Structure (Quantum ESPRESSO input):
```
&SYSTEM
  ibrav = 0, nat = 16, ntyp = 3
/
ATOMIC_SPECIES
Sr 87.62 Sr.upf
Ca 40.08 Ca.upf
Ni 58.69 Ni.upf
CELL_PARAMETERS angstrom
7.9282 0.0000 0.0000
0.0000 7.9282 0.0000
0.0000 0.0000 7.9282
ATOMIC_POSITIONS angstrom
Sr 0.0000 0.0000 0.0000
Sr 0.0000 3.9641 3.9641
Sr 3.9641 0.0000 3.9641
Sr 3.9641 3.9641 0.0000
Ca 0.0000 0.0000 3.9641
Ca 0.0000 3.9641 0.0000
Ca 1.9820 1.9820 1.9820
Ca 1.9820 5.9461 5.9461
Ca 3.9641 0.0000 0.0000
Ca 3.9641 3.9641 3.9641
Ca 5.9461 1.9820 5.9461
Ca 5.9461 5.9461 1.9820
Ni 1.9820 1.9820 5.9461
Ni 1.9820 5.9461 1.9820
Ni 5.9461 1.9820 1.9820
Ni 5.9461 5.9461 5.9461
```

Its energy above the most stable polymorph in this dataset is 0.3817 eV per atom. The calculation puts the size of the total moment at 0.00 μB per atom. As for the formation energy: 0.314 eV/atom. The final energy is -40.8 eV/cell. As for the space group: F-43m, No. 216.